16
Lattice="-0.654 -3.303 0.109 4.855 0.866 3.304 -6.559 1.604 9.218" Properties=species:S:1:pos:R:3 comment="ThZr2SiC4 PBE relaxed" raw_formation_energy_kj_per_mol_atoms=-40.5 dft_energy_ev_per_fu=-70.2 n_ef_per_ev_cell=2.8 pbc="T T T"
C 1.597 -0.220 2.911
C -3.956 -0.613 9.720
C -1.033 0.529 9.796
C -1.326 -1.362 2.835
C -0.074 0.189 5.260
C -2.284 -1.022 7.371
C -3.280 0.802 4.609
C 0.000 0.000 0.000
Si -2.204 -0.976 9.225
Si -0.154 0.143 3.407
Th -3.986 1.041 7.606
Th 1.628 -1.874 5.025
Zr 0.582 -1.788 1.364
Zr -0.252 0.298 7.490
Zr -2.106 -1.131 5.141
Zr -2.940 0.955 11.267